Density functional theory data (PBE) for crystalline TbBeNO at its relaxed geometry.

Output
- Energy: -0.554 Ry/atom
- Total magnetization: 0.00 μB per atom

Cell and atoms, written as CIF:
```
data_TbBeNO
_chemical_formula_sum 'Tb4 Be4 N4 O4'
_cell_length_a 5.062
_cell_length_b 6.945
_cell_length_c 4.822
_cell_angle_alpha 90.00
_cell_angle_beta 90.00
_cell_angle_gamma 90.00
_space_group_name_H-M_alt 'P 1'
_space_group_IT_number 1
loop_
_space_group_symop_operation_xyz
'x,y,z'
loop_
_atom_site_label
_atom_site_type_symbol
_atom_site_fract_x
_atom_site_fract_y
_atom_site_fract_z
_atom_site_occupancy
Be1 Be 0.573 0.406 0.006 1
Be2 Be 0.073 0.594 0.006 1
Be3 Be 0.927 0.406 0.506 1
Be4 Be 0.427 0.594 0.506 1
N1 N 0.503 0.160 0.014 1
N2 N 0.003 0.840 0.014 1
N3 N 0.997 0.160 0.514 1
N4 N 0.497 0.840 0.514 1
O1 O 0.857 0.465 0.174 1
O2 O 0.357 0.535 0.174 1
O3 O 0.643 0.465 0.674 1
O4 O 0.143 0.535 0.674 1
Tb1 Tb 0.017 0.172 0.009 1
Tb2 Tb 0.517 0.828 0.009 1
Tb3 Tb 0.483 0.172 0.509 1
Tb4 Tb 0.983 0.828 0.509 1
```

***

Density functional theory data (PBE) for crystalline TbBeNO at its relaxed geometry.

Output
- Energy: -0.540 Ry/atom
- Total magnetization: 0.00 μB per atom

Cell and atoms, written as CIF:
```
data_TbBeNO
_chemical_formula_sum 'Tb2 Be2 N2 O2'
_cell_length_a 3.340
_cell_length_b 5.026
_cell_length_c 5.145
_cell_angle_alpha 90.00
_cell_angle_beta 90.00
_cell_angle_gamma 90.00
_space_group_name_H-M_alt 'P 1'
_space_group_IT_number 1
loop_
_space_group_symop_operation_xyz
'x,y,z'
loop_
_atom_site_label
_atom_site_type_symbol
_atom_site_fract_x
_atom_site_fract_y
_atom_site_fract_z
_atom_site_occupancy
Be1 Be 0.500 0.001 0.214 1
Be2 Be 0.500 0.501 0.786 1
N1 N 0.000 0.989 0.330 1
N2 N 0.000 0.489 0.670 1
O1 O 0.500 0.260 0.014 1
O2 O 0.500 0.760 0.986 1
Tb1 Tb 0.000 0.505 0.234 1
Tb2 Tb 0.000 0.005 0.766 1
```

***

Density functional theory data (PBE) for crystalline TmBeNO at its relaxed geometry.

Output
- Energy: -0.542 Ry/atom
- Total magnetization: 0.00 μB per atom

Cell and atoms, written as CIF:
```
data_TmBeNO
_chemical_formula_sum 'Tm4 Be4 N4 O4'
_cell_length_a 5.406
_cell_length_b 6.208
_cell_length_c 4.855
_cell_angle_alpha 90.00
_cell_angle_beta 90.00
_cell_angle_gamma 90.00
_space_group_name_H-M_alt 'P 1'
_space_group_IT_number 1
loop_
_space_group_symop_operation_xyz
'x,y,z'
loop_
_atom_site_label
_atom_site_type_symbol
_atom_site_fract_x
_atom_site_fract_y
_atom_site_fract_z
_atom_site_occupancy
Be1 Be 0.083 0.106 0.011 1
Be2 Be 0.583 0.894 0.011 1
Be3 Be 0.417 0.106 0.511 1
Be4 Be 0.917 0.894 0.511 1
N1 N 0.346 0.022 0.191 1
N2 N 0.846 0.978 0.191 1
N3 N 0.154 0.022 0.691 1
N4 N 0.654 0.978 0.691 1
O1 O 0.968 0.364 0.006 1
O2 O 0.468 0.636 0.006 1
O3 O 0.532 0.364 0.506 1
O4 O 0.032 0.636 0.506 1
Tm1 Tm 0.941 0.283 0.494 1
Tm2 Tm 0.441 0.717 0.494 1
Tm3 Tm 0.559 0.283 0.994 1
Tm4 Tm 0.059 0.717 0.994 1
```

***

Density functional theory data (PBE) for crystalline TmBeNO at its relaxed geometry.

Output
- Energy: -0.517 Ry/atom
- Total magnetization: 0.00 μB per atom

Cell and atoms, written as CIF:
```
data_TmBeNO
_chemical_formula_sum 'Tm2 Be2 N2 O2'
_cell_length_a 4.498
_cell_length_b 4.498
_cell_length_c 4.468
_cell_angle_alpha 90.00
_cell_angle_beta 90.00
_cell_angle_gamma 90.00
_space_group_name_H-M_alt 'P 1'
_space_group_IT_number 1
loop_
_space_group_symop_operation_xyz
'x,y,z'
loop_
_atom_site_label
_atom_site_type_symbol
_atom_site_fract_x
_atom_site_fract_y
_atom_site_fract_z
_atom_site_occupancy
Be1 Be 0.000 0.500 0.076 1
Be2 Be 0.500 0.000 0.924 1
N1 N 0.000 0.500 0.432 1
N2 N 0.500 0.000 0.568 1
O1 O 0.000 0.000 0.000 1
O2 O 0.500 0.500 0.000 1
Tm1 Tm 0.000 0.000 0.500 1
Tm2 Tm 0.500 0.500 0.500 1
```

***

Density functional theory data (PBE) for crystalline TmBeNO at its relaxed geometry.

Output
- Energy: -0.533 Ry/atom
- Total magnetization: 0.00 μB per atom

Cell and atoms, written as CIF:
```
data_TmBeNO
_chemical_formula_sum 'Tm2 Be2 N2 O2'
_cell_length_a 3.449
_cell_length_b 3.449
_cell_length_c 7.115
_cell_angle_alpha 90.00
_cell_angle_beta 90.00
_cell_angle_gamma 90.00
_space_group_name_H-M_alt 'P 1'
_space_group_IT_number 1
loop_
_space_group_symop_operation_xyz
'x,y,z'
loop_
_atom_site_label
_atom_site_type_symbol
_atom_site_fract_x
_atom_site_fract_y
_atom_site_fract_z
_atom_site_occupancy
Be1 Be 0.000 0.000 0.500 1
Be2 Be 0.500 0.500 0.500 1
N1 N 0.500 0.000 0.403 1
N2 N 0.000 0.500 0.597 1
O1 O 0.000 0.000 0.000 1
O2 O 0.500 0.500 0.000 1
Tm1 Tm 0.000 0.500 0.172 1
Tm2 Tm 0.500 0.000 0.828 1
```

***

Density functional theory data (PBE) for crystalline TmBeNO at its relaxed geometry.

Output
- Energy: -0.558 Ry/atom
- Total magnetization: 0.00 μB per atom

Cell and atoms, written as CIF:
```
data_TmBeNO
_chemical_formula_sum 'Tm4 Be4 N4 O4'
_cell_length_a 4.929
_cell_length_b 7.127
_cell_length_c 4.721
_cell_angle_alpha 90.00
_cell_angle_beta 90.00
_cell_angle_gamma 90.00
_space_group_name_H-M_alt 'P 1'
_space_group_IT_number 1
loop_
_space_group_symop_operation_xyz
'x,y,z'
loop_
_atom_site_label
_atom_site_type_symbol
_atom_site_fract_x
_atom_site_fract_y
_atom_site_fract_z
_atom_site_occupancy
Be1 Be 0.924 0.406 0.499 1
Be2 Be 0.424 0.594 0.499 1
Be3 Be 0.576 0.406 0.999 1
Be4 Be 0.076 0.594 0.999 1
N1 N 0.494 0.161 0.028 1
N2 N 0.994 0.839 0.028 1
N3 N 0.006 0.161 0.528 1
N4 N 0.506 0.839 0.528 1
O1 O 0.874 0.447 0.153 1
O2 O 0.374 0.553 0.153 1
O3 O 0.626 0.447 0.653 1
O4 O 0.126 0.553 0.653 1
Tm1 Tm 0.014 0.163 0.023 1
Tm2 Tm 0.514 0.837 0.023 1
Tm3 Tm 0.486 0.163 0.523 1
Tm4 Tm 0.986 0.837 0.523 1
```